Material: Ac2Cd5Ag4
Method: DFT, PBE
State: relaxed

The value obtained for the excess energy over the best structure of this formula in the dataset is 0.06 eV per formula unit. The calculation puts the density at 8712 kg/m3. The calculation puts the formation energy at -230 kJ/mol of formula units.

The space group is Immm (No. 71) and the conventional cell measures 5.9320, 9.4356 and 9.8589 Å, with angles of 90.00, 90.00 and 90.00 degrees. Symmetry generates all atoms from Ac at (0.0000, 0.0000, 0.2215), Cd at (0.0000, 0.5000, 0.5000), Cd at (0.2502, 0.1994, 0.5000) and Ag at (0.0000, 0.3384, 0.2535).